PBE-GGA CaPm2F7, optimized geometry; SG = No. 166; energy relative to the elements, uncorrected = -3.78 eV per atom
1.0
-3.7407 1.5333 -0.1132
-2.4185 -0.7986 -3.1415
-5.9221 -8.8043 4.1941
Ca Pm F
1 2 7
Cartesian
-6.0406 -4.0348 0.4697
-5.1391 -6.9730 3.1258
-6.9422 -1.0967 -2.1864
-9.3382 -6.7007 1.0828
-5.2424 -2.1678 -0.6195
0.0000 0.0000 0.0000
-2.7431 -1.3690 -0.1434
-4.2636 -4.9254 1.9313
-7.8176 -3.1443 -0.9919
-6.8389 -5.9019 1.5589